This record from Alexandria via LeMat-Bulk describes a relaxed ThNbGa2 crystal. The functional is PBE.

Cell: 3.585 3.585 6.418 Å, 90.00 90.00 90.00°
Fractional coordinates of all 4 atoms:
1 Nb 0.500 0.500 0.000
2 Th 0.500 0.500 0.500
3 Ga 0.000 0.000 0.198
4 Ga 0.000 0.000 0.802

Output
polymorph energy (0 for the lowest one): 0 meV per atom
SG: P4/mmm (123)
E: -24.657 eV for the cell shown
energy of formation: -0.28 eV per atom